Entry 1:
6
Lattice="-2.655 2.655 3.728 2.655 -2.655 3.728 2.655 2.655 -3.728" Properties=species:S:1:pos:R:3 comment="PBE Si2As, relaxed" raw_formation_energy_ev_per_atom=0.4309 de_polymorph_ev_per_atom=0.2715 spacegroup="I4/mcm, No. 140" total_magnetization_mub_per_atom=0.00 energy_ev_per_cell=-28.41 pbc="T T T"
Si 3.515 0.859 0.000
Si 0.859 1.796 0.000
Si 1.796 0.859 3.728
Si -0.859 1.796 3.728
As 0.000 0.000 1.864
As 0.000 0.000 5.593

Entry 2:
4
Lattice="0.000 3.133 3.133 3.133 0.000 3.133 3.133 3.133 0.000" Properties=species:S:1:pos:R:3 comment="PBE NaFeAs2, relaxed" de_polymorph_ev_per_atom=0.3686 ef_ev_per_atom=0.202 spacegroup="Fm-3m, No. 225" total_magnetization_mub_per_atom=0.00 energy_ev_per_cell=-18.27 pbc="T T T"
Na 0.000 0.000 0.000
Fe 3.133 3.133 3.133
As 1.567 1.567 1.567
As 4.700 4.700 4.700

Entry 3:
10
Lattice="4.215 0.000 0.000 0.000 4.215 0.000 0.000 0.000 15.114" Properties=species:S:1:pos:R:3 comment="PBE HoThBi2N, relaxed" raw_formation_energy_ev_per_atom=-0.9010 spacegroup="P4/nmm, No. 129" total_magnetization_mub_per_atom=0.00 energy_ev_per_cell=-65.18 pbc="T T T"
Ho 1.054 1.054 1.018
Ho 3.161 3.161 14.096
Th 1.054 1.054 8.646
Th 3.161 3.161 6.468
Bi 1.054 1.054 4.178
Bi 1.054 1.054 12.936
Bi 3.161 3.161 2.178
Bi 3.161 3.161 10.936
N 1.054 3.161 7.557
N 3.161 1.054 7.557

Entry 4:
80
Lattice="-5.157 5.157 5.157 5.157 -5.157 5.157 5.157 5.157 -5.157" Properties=species:S:1:pos:R:3 comment="PBE Co5H12Rh3, relaxed" spacegroup="Ia-3d, No. 230" total_magnetization_mub_per_atom=0.30 energy_ev_per_cell=-377.72 pbc="T T T"
Co 0.000 0.000 0.000
Co 2.579 2.579 -2.579
Co 2.579 -2.579 2.579
Co 5.157 0.000 0.000
Co 7.736 1.289 0.000
Co 5.157 -2.579 3.868
Co 3.868 5.157 -2.579
Co 3.868 0.000 2.579
Co 2.579 3.868 0.000
Co 5.157 2.579 1.289
Co -2.579 2.579 2.579
Co 0.000 5.157 0.000
Co 0.000 0.000 5.157
Co 2.579 2.579 2.579
Co 0.000 2.579 3.868
Co 2.579 1.289 5.157
Co 1.289 5.157 2.579
Co 1.289 0.000 7.736
Co 0.000 7.736 1.289
Co -2.579 3.868 5.157
H 1.551 -0.179 0.678
H 6.185 3.257 -2.758
H 6.708 0.179 0.678
H 6.185 -1.901 2.758
H 4.978 -0.678 1.551
H 7.915 -1.028 1.901
H 0.678 1.551 -0.179
H 7.058 2.399 -1.028
H 3.257 2.758 -1.028
H 4.479 1.551 0.179
H -0.179 0.678 1.551
H 2.758 -1.028 3.257
H 4.978 4.479 -1.551
H 2.758 1.028 1.901
H 3.257 -2.758 6.185
H 4.479 -1.551 4.978
H 1.901 2.758 1.028
H 5.835 3.607 0.179
H 2.758 6.185 -1.901
H 4.978 0.678 3.607
H 1.551 4.978 -0.678
H 6.185 1.901 2.399
H 1.028 1.901 2.758
H 1.551 0.179 4.479
H 3.607 4.978 0.678
H 4.129 3.257 2.399
H -1.028 3.257 2.758
H 3.607 0.179 5.835
H 0.179 4.479 1.551
H 2.399 -1.028 7.058
H -0.678 1.551 4.978
H 3.257 2.399 4.129
H 0.678 6.708 0.179
H 1.901 7.915 -1.028
H 2.399 4.129 3.257
H 0.179 0.678 6.708
H 2.399 6.185 1.901
H 5.337 4.479 3.607
H 0.678 3.607 4.978
H 1.901 2.399 6.185
H -1.901 2.758 6.185
H 4.479 3.607 5.337
H -2.758 6.185 3.257
H 0.179 5.835 3.607
H -1.028 7.058 2.399
H -1.551 4.978 4.479
H -1.028 1.901 7.915
H 3.607 5.337 4.479
Rh 2.579 1.289 0.000
Rh 5.157 2.579 -1.289
Rh 1.289 0.000 2.579
Rh 6.447 0.000 2.579
Rh 0.000 2.579 1.289
Rh 2.579 -1.289 5.157
Rh 2.579 6.447 0.000
Rh 5.157 2.579 3.868
Rh -1.289 5.157 2.579
Rh 3.868 5.157 2.579
Rh 0.000 2.579 6.447
Rh 2.579 3.868 5.157

Entry 5:
5
Lattice="4.893 0.000 0.000 0.000 4.893 0.000 0.000 0.000 4.893" Properties=species:S:1:pos:R:3 comment="PBE RePt3Au, relaxed" de_polymorph_ev_per_atom=0.8155 ef_ev_per_atom=2.115 spacegroup="Pm-3m, No. 221" total_magnetization_mub_per_atom=0.85 energy_ev_per_cell=-23.27 pbc="T T T"
Re 0.000 0.000 0.000
Pt 0.000 2.446 2.446
Pt 2.446 0.000 2.446
Pt 2.446 2.446 0.000
Au 2.446 2.446 2.446

Entry 6:
4
Lattice="2.006 1.158 7.042 -2.006 1.158 7.042 0.000 -2.317 7.042" Properties=species:S:1:pos:R:3 comment="PBE Dy2SiAs, relaxed" raw_formation_energy_ev_per_atom=-0.9959 de_polymorph_ev_per_atom=0.1523 spacegroup="R-3m, No. 166" total_magnetization_mub_per_atom=0.00 energy_ev_per_cell=-23.26 pbc="T T T"
Dy 0.000 0.000 5.233
Dy 0.000 0.000 15.892
Si 0.000 0.000 0.000
As 0.000 0.000 10.563

So what do the calculations give for mass density? Going down the list: 4.14 6.17 10.25 7.45 13.73 7.24 g cm⁻³.
So what do the calculations give for density of states at the Fermi level? Going down the list: 0.34 0.72 0.67 0.96 0.82 0.31 states/eV/atom.